(1)
Lu2TlAg: relaxed, PBE.

```
8
Lattice="4.286 2.594 -0.466 -4.394 2.176 -1.130 -0.871 3.128 9.405" Properties=species:S:1:pos:R:3 pbc="T T T"
Lu 1.313 2.740 0.168
Lu 1.037 3.734 3.159
Ag -1.718 3.097 1.442
Lu -2.015 4.164 4.650
Ag 0.740 4.801 6.366
Tl 0.000 0.000 0.000
Lu -2.292 5.159 7.640
Tl -0.435 1.564 4.702
```

E_tot = -3.4892 eV/atom



(2)
GdYCl2O2: relaxed, PBE.

```
6
Lattice="3.919 0.000 0.000 0.000 3.919 0.000 0.000 0.000 6.685" Properties=species:S:1:pos:R:3 pbc="T T T"
O 0.000 1.959 0.009
Gd 0.000 0.000 5.539
Cl 0.000 0.000 2.488
Cl 1.959 1.959 4.202
O 1.959 0.000 0.009
Y 1.959 1.959 1.122
```

E_tot = -7.1779 eV/atom



(3)
YTmCS: relaxed, PBE.

```
8
Lattice="-3.403 0.632 -1.241 0.518 -2.182 2.913 -0.947 10.134 7.760" Properties=species:S:1:pos:R:3 pbc="T T T"
Tm -1.639 7.857 8.497
S -1.022 1.250 3.438
S -2.810 7.335 5.994
C -0.473 5.067 3.880
Y -2.469 3.690 3.203
Tm -2.192 0.728 0.935
Y -1.362 4.894 6.229
C 0.000 0.000 0.000
```

E_tot = -7.3557 eV/atom



(4)
Li2AgS2: relaxed, PBE.

```
5
Lattice="0.051 2.467 -2.755 3.827 -1.807 0.934 0.079 -4.596 -4.115" Properties=species:S:1:pos:R:3 pbc="T T T"
Li 2.715 -2.209 -4.411
S 1.068 -3.563 -3.172
Li 1.242 -1.726 -1.524
Ag 0.026 1.233 -1.377
S 2.888 -0.372 -2.763
```

E_tot = -3.7066 eV/atom



(5)
Ta2NbOs2: relaxed, PBE.

```
5
Lattice="2.993 -2.993 0.000 2.993 2.993 0.000 -2.993 0.000 5.347" Properties=species:S:1:pos:R:3 pbc="T T T"
Os 0.000 0.000 4.131
Ta 1.496 -1.496 2.674
Nb 0.000 0.000 0.000
Ta 1.496 1.496 2.674
Os 2.993 0.000 1.216
```

E_form = 0.234 eV per atom
E_tot = -11.0158 eV/atom



(6)
LiDyCdTe3: relaxed, PBE.

```
24
Lattice="-6.343 -6.195 7.491 3.391 -2.582 0.737 4.273 8.698 10.812" Properties=species:S:1:pos:R:3 pbc="T T T"
Te -2.488 -1.164 13.725
Te 1.433 -1.241 8.103
Te 1.451 0.861 15.385
Te -2.413 -2.229 9.648
Te -0.130 -0.940 3.655
Dy -1.289 -1.614 6.628
Li 0.255 -1.717 11.858
Cd -0.783 1.062 13.676
Dy 1.906 1.532 2.942
Li 5.200 4.990 12.600
Te -2.965 -6.834 8.747
Cd 2.104 -1.141 5.363
Te 3.734 2.149 9.391
Te 1.919 4.448 13.105
Te -0.598 -4.527 5.935
Cd 2.565 4.518 10.377
Li -3.879 -5.070 6.440
Cd -1.244 -4.598 8.663
Li 1.066 1.638 7.181
Dy 2.610 1.534 12.411
Te 3.809 1.085 5.315
Te -0.112 1.162 10.937
Te 4.285 6.754 10.292
Dy -0.585 -1.611 16.097
```

E_tot = -3.7091 eV/atom



(7)
TmZr2In3Cu2Ni: relaxed, PBE.

```
9
Lattice="-2.208 0.030 2.983 0.871 -7.187 0.717 4.593 4.535 3.355" Properties=species:S:1:pos:R:3 pbc="T T T"
In 2.960 -1.957 4.520
Zr 0.534 -4.314 0.438
In 0.954 -5.957 3.074
Cu 2.249 0.659 3.968
Cu 0.999 -3.278 3.081
Ni 5.448 -2.644 4.060
Zr 2.765 2.713 2.020
In 3.690 2.662 5.014
Tm 2.200 -1.067 1.639
```

E_tot = -5.0981 eV/atom



(8)
DyAsIrO: relaxed, PBE.

```
8
Lattice="-4.447 2.615 -2.465 -0.972 -4.651 -3.180 -2.756 -1.636 3.235" Properties=species:S:1:pos:R:3 pbc="T T T"
As -1.356 -0.510 -1.410
Ir -5.442 -2.345 -2.617
Ir -2.733 -1.328 0.207
Dy -4.956 -0.020 -1.026
Dy -3.219 -3.653 -1.384
O -1.841 -2.835 -3.001
As -6.819 -3.163 -1.000
O -3.578 0.798 -2.644
```

E_tot = -6.7919 eV/atom



(9)
GdF3: relaxed, PBE.

```
8
Lattice="2.481 1.432 5.371 -2.481 1.432 5.371 0.000 -2.864 5.371" Properties=species:S:1:pos:R:3 pbc="T T T"
Gd 0.000 0.000 0.000
F -1.710 -0.097 6.714
F -0.939 1.432 9.399
F -0.771 -1.529 9.399
F 0.939 -1.432 6.714
F 1.710 0.097 9.399
F 0.771 1.529 6.714
Gd 0.000 0.000 8.057
```

E_tot = -6.5327 eV/atom



(10)
HoZnRe: relaxed, PBE.

```
3
Lattice="-1.179 -3.619 2.255 -3.660 -2.214 -1.127 0.320 -3.987 -1.890" Properties=species:S:1:pos:R:3 pbc="T T T"
Zn 0.000 0.000 0.000
Re -3.389 -7.364 -0.572
Ho -1.130 -2.455 -0.190
```

E_form = 0.600 eV per atom
E_tot = -5.4880 eV/atom



(11)
LaNdP2Os2N2: relaxed, PBE.

```
8
Lattice="4.061 0.000 0.000 0.000 4.061 0.000 0.000 0.000 8.654" Properties=species:S:1:pos:R:3 pbc="T T T"
P 2.031 2.031 3.157
Os 0.000 2.031 4.350
N 0.000 2.031 8.621
P 0.000 0.000 5.537
Os 2.031 0.000 4.350
Nd 2.031 2.031 7.450
N 2.031 0.000 8.621
La 0.000 0.000 1.181
```

E_tot = -8.1081 eV/atom



(12)
BeZnCoSi: relaxed, PBE.

```
4
Lattice="-2.073 -3.366 -0.279 -1.644 -1.589 3.237 -3.936 0.054 0.453" Properties=species:S:1:pos:R:3 pbc="T T T"
Be -1.913 -1.225 0.853
Co -5.740 -3.676 2.558
Si 0.000 0.000 0.000
Zn -3.827 -2.450 1.705
```

E_tot = -4.3892 eV/atom



(13)
HfZnW2: relaxed, PBE.

```
4
Lattice="0.000 3.226 3.226 3.226 0.000 3.226 3.226 3.226 0.000" Properties=species:S:1:pos:R:3 pbc="T T T"
Zn 3.226 3.226 3.226
Hf 1.613 1.613 1.613
W 4.839 4.839 4.839
W 0.000 0.000 0.000
```

E_form = 0.113 eV per atom
E_tot = -9.1720 eV/atom



(14)
NaAgOsSe3: relaxed, PBE.

```
12
Lattice="3.775 0.000 0.000 1.888 6.806 0.000 0.000 0.000 9.945" Properties=species:S:1:pos:R:3 pbc="T T T"
Se 3.775 1.017 7.459
Ag 1.888 0.903 2.486
Os 0.000 0.000 4.973
Se 3.775 5.106 9.834
Se 1.888 5.789 2.486
Na 1.888 3.441 7.459
Os 0.000 0.000 0.000
Se 1.888 1.700 0.111
Na 3.775 3.365 2.486
Se 3.775 5.106 5.084
Se 1.888 1.700 4.861
Ag 3.775 5.903 7.459
```

E_tot = -4.4052 eV/atom



(15)
LaBeTlPd: relaxed, PBE.

```
4
Lattice="1.331 -4.056 2.544 -0.247 -0.012 4.963 -3.452 -2.728 2.309" Properties=species:S:1:pos:R:3 pbc="T T T"
Tl -1.184 -3.398 4.908
La -0.592 -1.699 2.454
Pd 0.000 0.000 0.000
Be -1.776 -5.098 7.362
```

E_tot = -4.0979 eV/atom



(16)
Pr3Ge2S8I: relaxed, PBE.

```
28
Lattice="8.067 -3.984 0.000 8.067 3.984 0.000 -1.642 0.000 10.897" Properties=species:S:1:pos:R:3 pbc="T T T"
S 3.633 0.563 6.397
Ge 1.690 -0.321 5.734
S 1.029 0.774 9.017
Ge 12.802 0.321 5.163
S 9.336 1.963 7.093
S 10.859 -0.563 4.500
S 10.038 0.563 9.949
Ge 11.981 -0.321 10.612
Pr 6.836 3.122 8.173
I 7.656 0.137 2.724
S 9.049 2.704 0.419
S 13.463 -0.774 1.881
S 4.454 -0.563 0.948
S 5.156 -1.963 3.804
S 10.157 -1.963 1.645
Pr 10.983 0.990 1.964
S 1.850 -0.774 3.568
S 8.228 -2.704 5.868
S 5.443 -2.704 10.478
S 12.642 0.774 7.330
Pr 10.162 -0.990 7.413
Pr 4.330 0.990 3.485
Ge 2.511 0.321 0.285
S 6.264 2.704 5.030
Pr 3.509 -0.990 8.934
I 6.836 -0.137 8.173
S 4.335 1.963 9.253
Pr 7.656 -3.122 2.724
```

E_tot = -5.4396 eV/atom



(17)
AcPmPO: relaxed, PBE.

```
8
Lattice="3.212 -3.212 0.000 3.212 3.212 0.000 0.000 0.000 9.416" Properties=species:S:1:pos:R:3 pbc="T T T"
Ac 1.606 0.000 1.099
P 4.817 0.000 2.982
Pm 3.212 -1.606 4.708
Pm 3.212 1.606 4.708
Ac 4.817 0.000 8.317
O 3.212 1.606 0.000
O 3.212 -1.606 0.000
P 1.606 0.000 6.434
```

E_tot = -6.7569 eV/atom



(18)
PmGaSb: relaxed, PBE.

```
3
Lattice="0.000 3.492 3.492 3.492 0.000 3.492 3.492 3.492 0.000" Properties=species:S:1:pos:R:3 pbc="T T T"
Pm 1.746 1.746 1.746
Ga 0.000 0.000 0.000
Sb 5.238 5.238 5.238
```

E_tot = -4.3157 eV/atom



(19)
Tm3AlAg2: relaxed, PBE.

```
6
Lattice="-2.740 2.231 -0.173 -0.963 -1.422 -3.092 -6.217 -7.227 5.260" Properties=species:S:1:pos:R:3 pbc="T T T"
Al -4.960 -3.209 0.997
Ag -2.912 -0.829 -0.735
Tm 0.000 0.000 0.000
Tm -4.138 -4.810 3.501
Tm -2.079 -2.417 1.759
Ag -7.007 -5.590 2.730
```

E_tot = -4.1708 eV/atom



(20)
NaAlAg2F6: relaxed, PBE.

```
10
Lattice="-1.620 -1.857 4.921 3.576 -0.200 4.180 -0.509 3.489 4.226" Properties=species:S:1:pos:R:3 pbc="T T T"
Ag 1.085 1.074 9.996
F 2.260 0.222 5.325
F -0.814 1.210 8.002
F -0.540 -0.670 5.725
F 1.986 2.102 7.603
F 0.059 2.210 5.350
F 1.387 -0.778 7.977
Al 0.000 0.000 0.000
Ag 0.362 0.358 3.332
Na 0.723 0.716 6.664
```

E_tot = -4.5361 eV/atom



(21)
NdCdB4: relaxed, PBE.

```
6
Lattice="-1.601 2.741 4.237 1.601 -2.741 4.237 1.601 2.741 -4.237" Properties=species:S:1:pos:R:3 pbc="T T T"
B 1.601 0.970 2.176
B 1.601 -0.970 2.176
Nd 0.000 0.000 4.237
B 0.000 1.771 2.061
B 0.000 3.711 2.061
Cd 0.000 0.000 0.000
```

E_tot = -5.3611 eV/atom



(22)
DyGeH2O4: relaxed, PBE.

```
16
Lattice="-1.144 -5.202 2.907 -5.127 2.664 -1.855 3.416 -1.243 -4.910" Properties=species:S:1:pos:R:3 pbc="T T T"
O -4.706 -3.122 0.052
O 0.652 -3.491 -2.313
O -2.390 0.162 -5.437
Ge -0.310 -3.807 -0.759
O -4.132 -0.543 -1.439
O -1.909 -2.181 -3.279
H 0.589 -0.623 -2.423
Dy -3.232 -1.308 0.543
H -5.240 0.607 -0.787
O -1.690 0.301 -0.931
O 0.096 -0.473 -3.293
Ge -6.148 -2.489 1.032
O -2.184 -2.997 -0.693
H 0.498 -5.152 -2.754
H -2.196 -2.653 -1.644
Dy -2.520 0.037 -3.103
```

E_tot = -6.2549 eV/atom



(23)
TmSi: relaxed, PBE.

```
2
Lattice="0.000 3.210 3.210 3.210 0.000 3.210 3.210 3.210 0.000" Properties=species:S:1:pos:R:3 pbc="T T T"
Si 0.000 0.000 0.000
Tm 1.605 1.605 1.605
```

E_tot = -4.5416 eV/atom



(24)
KLuPO: relaxed, PBE.

```
8
Lattice="-2.551 1.463 -1.609 -4.844 -2.538 5.374 1.098 6.253 3.943" Properties=species:S:1:pos:R:3 pbc="T T T"
K 0.430 3.623 2.612
O -0.217 4.884 4.785
P -3.779 4.058 6.189
Lu -3.797 2.013 4.358
P -2.372 1.957 2.047
Lu -2.043 5.771 4.993
O -3.243 0.460 5.560
K -4.509 -1.804 5.510
```

E_tot = -5.5575 eV/atom